{"formula": "TaTi3Sn", "functional": "PBE", "state": "relaxed", "energy_ev_per_atom": -7.8906, "magnetic_moment_mub_per_cell": 0.00, "rho_g_cm3": 7.93, "delta_e_f_kj_per_mol_atoms": 1.7, "lattice": [[-1.6088, -0.7119, 6.8157], [-5.9669, -4.5653, -1.8042], [1.2575, -7.6122, -0.4172]], "species": ["Ta", "Ta", "Ta", "Ta", "Ti", "Ti", "Ti", "Ti", "Ti", "Ti", "Ti", "Ti", "Ti", "Ti", "Ti", "Ti", "Sn", "Sn", "Sn", "Sn"], "fractional_positions": [[0.6856, 0.4619, 0.9629], [0.8144, 0.0371, 0.5381], [0.3144, 0.5381, 0.0371], [0.1856, 0.9629, 0.4619], [0.3929, 0.3178, 0.8175], [0.1071, 0.1825, 0.6822], [0.6071, 0.6822, 0.1825], [0.8929, 0.8175, 0.3178], [0.9503, 0.7640, 0.9261], [0.5497, 0.0739, 0.2360], [0.0497, 0.2360, 0.0739], [0.4503, 0.9261, 0.7640], [0.4501, 0.2651, 0.4247], [0.0499, 0.5753, 0.7349], [0.5499, 0.7349, 0.5753], [0.9501, 0.4247, 0.2651], [0.2500, 0.9296, 0.0704], [0.7500, 0.0704, 0.9296], [0.2500, 0.5709, 0.4291], [0.7500, 0.4291, 0.5709]]}



{"formula": "SrLa2TiAs", "functional": "PBE", "state": "relaxed", "energy_ev_per_atom": -3.6802, "magnetic_moment_mub_per_cell": 1.11, "rho_g_cm3": 5.17, "delta_e_f_kj_per_mol_atoms": 109.6, "lattice": [[-3.5956, -2.4528, 3.7496], [3.6488, -0.9132, 2.9017], [-0.7774, 5.0762, 2.5751]], "species": ["Sr", "As", "Ti", "La", "La"], "fractional_positions": [[0.0000, 0.0000, 0.0000], [0.5000, 0.5000, 0.5000], [0.0000, 0.5000, 0.0000], [0.0000, 0.0000, 0.5000], [0.5000, 0.0000, 0.0000]]}



{"formula": "ZnCdW", "functional": "PBE", "state": "relaxed", "energy_ev_per_atom": -4.6473, "magnetic_moment_mub_per_cell": 0.00, "rho_g_cm3": 11.66, "delta_e_f_kj_per_mol_atoms": 38.6, "lattice": [[2.8778, 0.0000, 0.0000], [-1.4389, 2.4922, 0.0000], [0.0000, 0.0000, 7.1825]], "species": ["Cd", "W", "Zn"], "fractional_positions": [[0.0000, 0.0000, 0.9990], [0.6667, 0.3333, 0.3476], [0.3333, 0.6667, 0.6535]]}